Computed, not measured: a relaxed LaCeMgOs crystal at the GGA-PBE level of DFT.

## Properties
- DFT total energy (eV for the cell shown) = -94.29
- energy relative to the elements (eV per atom) = 0.028
- magnetization (Bohr magnetons per cell) = 0.001

abc: 7.2772 7.2772 7.2772
angles: 90.00 90.00 90.00
Space group F-43m (No. 216)
Asymmetric unit:
La 0.0000 0.0000 0.0000 [4 per cell]
Ce 0.0000 0.0000 0.5000 [4 per cell]
Mg 0.2500 0.2500 0.2500 [4 per cell]
Os 0.2500 0.2500 0.7500 [4 per cell]

Computed, not measured: a relaxed AcBe2SiPt4 crystal at the GGA-PBE level of DFT.

## Properties
- DFT total energy (eV for the cell shown) = -141.38
- magnetization (Bohr magnetons per cell) = 0.000
- raw formation energy (eV/atom) = -0.7473

abc: 4.1175 4.1175 27.4554
angles: 90.00 90.00 120.00
Space group R-3m (No. 166, hexagonal axes)
Asymmetric unit:
Ac 0.0000 0.0000 0.0000 [3 per cell]
Be 0.0000 0.0000 0.2404 [6 per cell]
Si 0.0000 0.0000 0.5000 [3 per cell]
Pt 0.0000 0.0000 0.1371 [6 per cell]
Pt 0.0000 0.0000 0.4109 [6 per cell]

Computed, not measured: a relaxed Mg2Tl4Pb crystal at the GGA-PBE level of DFT.

## Properties
- DFT total energy (eV for the cell shown) = -32.25
- energy relative to the elements (eV per atom) = 0.034
- magnetization (Bohr magnetons per cell) = 0.000

abc: 7.8717 6.4085 8.4702
angles: 90.00 110.65 90.00
Space group P2_1/m (No. 11)
Asymmetric unit:
Mg 0.0772 0.2500 0.0503 [2 per cell]
Mg 0.2715 0.7500 0.5132 [2 per cell]
Tl 0.1103 0.0062 0.7349 [4 per cell]
Tl 0.3313 0.7500 0.1804 [2 per cell]
Tl 0.4752 0.2500 0.0973 [2 per cell]
Pb 0.3082 0.2500 0.4464 [2 per cell]